Compound: MnNiAg4
Source: the Alexandria database
Functional: GGA-PBE
Structure: relaxed

Properties
Uncorrected energy: -3.8978 eV per atom
Energy of formation from the pure elements: 0.49 eV per atom

Geometry as POSCAR:
```
MnNiAg4
1.0
0.0000 3.7917 3.7917
3.7917 0.0000 3.7917
3.7917 3.7917 0.0000
Mn Ni Ag
1 1 4
Cartesian
0.0000 0.0000 0.0000
5.6876 5.6876 5.6876
2.8447 2.8447 2.8447
4.7387 4.7387 2.8447
4.7387 2.8447 4.7387
2.8447 4.7387 4.7387
```